No. 1
This record from Alexandria describes a geometry-optimized ScUMo4 structure. The functional is PBE.

Cell and atoms, written as extended XYZ:
```
6
Lattice="0.000 3.831 3.831 3.831 0.000 3.831 3.831 3.831 0.000" Properties=species:S:1:pos:R:3 pbc="T T T"
Sc 0.000 0.000 0.000
U 1.916 1.916 1.916
Mo 4.789 2.874 2.874
Mo 2.874 4.789 2.874
Mo 2.874 2.874 4.789
Mo 4.789 4.789 4.789
```

- formation energy (eV per atom) = 0.223
- V (Å³ per cell) = 112.49
- symmetry = No. 216
- total DFT energy (no corrections) (eV/cell) = -59.61

---

No. 2
This record from Alexandria describes a geometry-optimized CsHfMoPd2 structure. The functional is PBE.

Cell and atoms, written as extended XYZ:
```
5
Lattice="4.989 0.000 0.000 0.000 4.989 0.000 0.000 0.000 6.078" Properties=species:S:1:pos:R:3 pbc="T T T"
Cs 0.000 0.000 0.000
Hf 0.000 0.000 3.039
Mo 2.495 2.495 0.000
Pd 0.000 2.495 3.039
Pd 2.495 0.000 3.039
```

- formation energy (eV per atom) = 1.606
- V (Å³ per cell) = 151.30
- symmetry = No. 123
- total DFT energy (no corrections) (eV/cell) = -23.99

---

No. 3
This record from Alexandria describes a geometry-optimized Ac6InPt2Br3 structure. The functional is PBE.

Cell and atoms, written as extended XYZ:
```
12
Lattice="10.438 -2.224 0.000 10.438 2.224 0.000 -2.637 0.000 9.384" Properties=species:S:1:pos:R:3 pbc="T T T"
Ac -0.306 0.000 2.425
Ac 5.529 0.000 4.142
Ac 4.712 0.000 8.216
Ac 13.528 0.000 1.167
Ac 12.711 0.000 5.242
Ac 18.546 0.000 6.959
In 10.438 0.000 0.000
Pt 2.644 0.000 3.197
Pt 15.596 0.000 6.187
Br 1.106 0.000 7.809
Br 9.120 0.000 4.692
Br 17.134 0.000 1.575
```

- formation energy without anion corrections (kJ per mole of atoms) = -110
- V (Å³ per cell) = 435.62
- symmetry = No. 12
- total DFT energy (no corrections) (eV/cell) = -58.12

---

No. 4
This record from Alexandria describes a geometry-optimized KCdIn2Pt structure. The functional is PBE.

Cell and atoms, written as extended XYZ:
```
5
Lattice="5.197 0.000 0.000 0.000 5.197 0.000 0.000 0.000 6.180" Properties=species:S:1:pos:R:3 pbc="T T T"
K 0.000 0.000 0.000
Cd 2.599 2.599 0.000
In 0.000 2.599 3.090
In 2.599 0.000 3.090
Pt 0.000 0.000 3.090
```

- formation energy (eV per atom) = -0.119
- distance to the lowest polymorph of the same formula (eV per atom) = 0.1332
- V (Å³ per cell) = 166.93
- symmetry = No. 123
- total DFT energy (no corrections) (eV/cell) = -14.13

---

No. 5
This record from Alexandria describes a geometry-optimized NaTmTl2 structure. The functional is PBE.

Cell and atoms, written as extended XYZ:
```
4
Lattice="0.000 3.754 3.754 3.754 0.000 3.754 3.754 3.754 0.000" Properties=species:S:1:pos:R:3 pbc="T T T"
Na 0.000 0.000 0.000
Tm 3.754 3.754 3.754
Tl 1.877 1.877 1.877
Tl 5.631 5.631 5.631
```

- formation energy (eV per atom) = -0.201
- distance to the lowest polymorph of the same formula (eV per atom) = 0.0242
- V (Å³ per cell) = 105.82
- symmetry = No. 225
- total DFT energy (no corrections) (eV/cell) = -11.33

---

No. 6
This record from Alexandria describes a geometry-optimized Ca2PrCd2Pb2 structure. The functional is PBE.

Cell and atoms, written as extended XYZ:
```
7
Lattice="2.580 1.490 8.843 -2.580 1.490 8.843 0.000 -2.979 8.843" Properties=species:S:1:pos:R:3 pbc="T T T"
Ca 0.000 0.000 3.599
Ca 0.000 0.000 22.930
Pr 0.000 0.000 0.000
Cd 0.000 0.000 11.556
Cd 0.000 0.000 14.973
Pb 0.000 0.000 7.076
Pb 0.000 0.000 19.453
```

- formation energy (eV per atom) = -0.311
- V (Å³ per cell) = 203.95
- symmetry = No. 166
- total DFT energy (no corrections) (eV/cell) = -20.21

---

No. 7
This record from Alexandria describes a geometry-optimized PrNd5Bi6 structure. The functional is PBE.

Cell and atoms, written as extended XYZ:
```
12
Lattice="3.997 -6.923 0.000 3.997 6.923 0.000 -2.668 0.000 7.536" Properties=species:S:1:pos:R:3 pbc="T T T"
Pr 0.000 0.000 0.000
Nd 2.663 4.622 3.768
Nd 3.997 2.310 0.000
Nd 2.663 0.000 3.768
Nd 3.997 -2.310 0.000
Nd 2.663 -4.622 3.768
Bi 1.337 2.315 1.890
Bi 0.007 0.000 5.650
Bi 1.337 -2.315 1.890
Bi 3.989 2.315 5.646
Bi 5.319 0.000 1.886
Bi 3.989 -2.315 5.646
```

- formation energy (eV per atom) = -0.952
- V (Å³ per cell) = 417.06
- symmetry = No. 12
- total DFT energy (no corrections) (eV/cell) = -63.33

---

No. 8
This record from Alexandria describes a geometry-optimized RbCo6S8 structure. The functional is PBE.

Cell and atoms, written as extended XYZ:
```
15
Lattice="4.444 2.566 3.665 -4.444 2.566 3.665 0.000 -5.132 3.665" Properties=species:S:1:pos:R:3 pbc="T T T"
Rb 0.000 0.000 0.000
Co -0.942 -1.420 4.263
Co -0.759 1.526 4.263
Co -1.701 0.106 6.731
Co 1.701 -0.106 4.263
Co 0.759 -1.526 6.731
Co 0.942 1.420 6.731
S -2.529 0.163 4.598
S 0.000 0.000 2.938
S -1.406 -2.109 6.396
S 1.124 -2.272 4.598
S -1.124 2.272 6.396
S 1.406 2.109 4.598
S 0.000 0.000 8.056
S 2.529 -0.163 6.396
```

- formation energy without anion corrections (kJ per mole of atoms) = -42
- V (Å³ per cell) = 250.72
- symmetry = No. 148
- total DFT energy (no corrections) (eV/cell) = -83.19

---

Please write out number 6 again, unchanged.
This record from Alexandria describes a geometry-optimized Ca2PrCd2Pb2 structure. The functional is PBE.

Cell and atoms, written as extended XYZ:
```
7
Lattice="2.580 1.490 8.843 -2.580 1.490 8.843 0.000 -2.979 8.843" Properties=species:S:1:pos:R:3 pbc="T T T"
Ca 0.000 0.000 3.599
Ca 0.000 0.000 22.930
Pr 0.000 0.000 0.000
Cd 0.000 0.000 11.556
Cd 0.000 0.000 14.973
Pb 0.000 0.000 7.076
Pb 0.000 0.000 19.453
```

- formation energy (eV per atom) = -0.311
- V (Å³ per cell) = 203.95
- symmetry = No. 166
- total DFT energy (no corrections) (eV/cell) = -20.21

---

- What is the total DFT energy (no corrections) in the fifth record?
  -11.33 eV/cell

---

- What is the formula in the third record?
  Ac6InPt2Br3